PBE YPb2Br, relaxed; ΔE to the lowest computed polymorph = 0.516 eV per atom; E_tot = -63.3 eV/cell; formation energy without anion corrections = -0.068 eV per atom
1.0
7.847 0.000 0.000
0.000 7.847 0.000
0.000 0.000 7.847
Y Pb Br
4 8 4
Direct
0.000 0.000 0.000 Y
0.000 0.500 0.500 Y
0.500 0.000 0.500 Y
0.500 0.500 0.000 Y
0.250 0.250 0.250 Pb
0.250 0.250 0.750 Pb
0.250 0.750 0.250 Pb
0.250 0.750 0.750 Pb
0.750 0.250 0.250 Pb
0.750 0.250 0.750 Pb
0.750 0.750 0.250 Pb
0.750 0.750 0.750 Pb
0.000 0.000 0.500 Br
0.000 0.500 0.000 Br
0.500 0.000 0.000 Br
0.500 0.500 0.500 Br